1.
## Na2ReNi (PBE-GGA)

Data for Na2ReNi after structural relaxation.

## Properties
- Crystal system: cubic
- Excess energy over the best structure of this formula in the dataset: 18.7 kJ/mol of atoms
- Calculated total energy: -3.644 eV/atom

Lattice parameters (Å, degrees): 4.7225 4.7225 4.7225 60.00 60.00 60.00
With the nearest neighbours (Å) after each atom.
Atoms (fractional coordinates):
1 Ni 0.0000 0.0000 0.0000  8 Na 2.89
2 Na 0.2500 0.2500 0.2500  4 Re 2.89, 4 Ni 2.89
3 Na 0.7500 0.7500 0.7500  4 Re 2.89, 4 Ni 2.89
4 Re 0.5000 0.5000 0.5000  8 Na 2.89


2.
## NaReNi2Rh (PBE-GGA)

Data for NaReNi2Rh after structural relaxation.

## Properties
- Crystal system: tetragonal
- Calculated total energy: -5.203 eV/atom

Lattice parameters (Å, degrees): 4.7078 4.6681 4.7078 90.00 90.00 90.00
With the nearest neighbours (Å) after each atom.
Atoms (fractional coordinates):
1 Rh 0.0000 0.0000 0.0000  2 Re 2.33, 4 Ni 2.35
2 Ni 0.0000 0.0000 0.5000  2 Rh 2.35
3 Ni 0.5000 0.0000 0.0000  2 Rh 2.35
4 Na 0.5000 0.5000 0.5000  8 Ni 3.31, 4 Re 3.33
5 Re 0.0000 0.5000 0.0000  2 Rh 2.33


3.
## NaRe2NiRh (PBE-GGA)

Data for NaRe2NiRh after structural relaxation.

## Properties
- Crystal system: tetragonal
- Calculated total energy: -6.186 eV/atom

Lattice parameters (Å, degrees): 4.4406 4.4652 4.4406 90.00 90.00 90.00
With the nearest neighbours (Å) after each atom.
Atoms (fractional coordinates):
1 Re 0.0000 0.0000 0.5000  2 Ni 2.22
2 Re 0.5000 0.0000 0.0000  2 Ni 2.22
3 Na 0.0000 0.5000 0.0000  2 Ni 2.23
4 Rh 0.5000 0.5000 0.5000  4 Na 3.14, 8 Re 3.15
5 Ni 0.0000 0.0000 0.0000  4 Re 2.22, 2 Na 2.23


4.
## Na2SrReNi (PBE-GGA)

Data for Na2SrReNi after structural relaxation.

## Properties
- Crystal system: tetragonal
- Calculated total energy: -3.683 eV/atom

Lattice parameters (Å, degrees): 5.1710 4.6734 5.1710 90.00 90.00 90.00
With the nearest neighbours (Å) after each atom.
Atoms (fractional coordinates):
1 Ni 0.0000 0.0000 0.0000  2 Re 2.34, 4 Na 2.59
2 Re 0.0000 0.5000 0.0000  2 Ni 2.34
3 Na 0.0000 0.0000 0.5000  2 Ni 2.59
4 Na 0.5000 0.0000 0.0000  2 Ni 2.59
5 Sr 0.5000 0.5000 0.5000  8 Na 3.48, 4 Re 3.66


5.
## NaTiReNi2 (PBE-GGA)

Data for NaTiReNi2 after structural relaxation.

## Properties
- Crystal system: tetragonal
- Calculated total energy: -4.891 eV/atom

Lattice parameters (Å, degrees): 4.1164 4.7030 4.1164 90.00 90.00 90.00
With the nearest neighbours (Å) after each atom.
Atoms (fractional coordinates):
1 Na 0.0000 0.0000 0.0000  4 Ni 2.06
2 Ti 0.5000 0.5000 0.5000  4 Re 2.91, 8 Ni 3.13
3 Re 0.0000 0.5000 0.0000  2 Na 2.35
4 Ni 0.5000 0.0000 0.0000  2 Na 2.06
5 Ni 0.0000 0.0000 0.5000  2 Na 2.06


6.
## NaNi2Rh2 (PBE-GGA)

Data for NaNi2Rh2 after structural relaxation.

## Properties
- Crystal system: tetragonal
- Excess energy over the best structure of this formula in the dataset: 22.5 kJ/mol of atoms
- Calculated total energy: -5.108 eV/atom

Lattice parameters (Å, degrees): 3.9269 3.9269 5.9313 70.67 70.67 90.00
With the nearest neighbours (Å) after each atom.
Atoms (fractional coordinates):
1 Ni 0.2500 0.7500 0.5000  4 Rh 2.43
2 Ni 0.7500 0.2500 0.5000  4 Rh 2.43
3 Na 0.0000 0.0000 0.0000  8 Rh 3.02, 8 Ni 3.27
4 Rh 0.6133 0.6133 0.7733  1 Rh 2.38, 4 Ni 2.43
5 Rh 0.3867 0.3867 0.2267  1 Rh 2.38, 4 Ni 2.43


no.,density (g cm⁻³),DFT formation energy (eV per formula unit)
1,6.49,6.29
2,6.89,6.66
3,10.50,8.42
4,5.03,4.13
5,7.80,8.77
6,7.11,2.05